## Y3Cd2GaAgAu2 (PBE)

Data for a geometry-optimized Y3Cd2GaAgAu2 structure.

Cell: 3.847 7.805 7.805 Å, 120.28 90.00 90.00°
Element x y z (fractional)
Y  0.000  0.000  0.000
Y  0.000  0.181  0.586
Y  0.000  0.586  0.181
Cd  0.500  0.588  0.848
Cd  0.500  0.848  0.588
Ga  0.500  0.323  0.323
Ag  0.000  0.570  0.570
Au  0.500  0.255  0.925
Au  0.500  0.925  0.255

As for the volume: 202.3 Å³ per cell. Its magnetic moment is 0.01 μB/f.u. As for the total energy: -4.357 eV/atom.